Entry 1:
VASP calculation (PBE-GGA) on an optimized crystal structure of Ca5Os2N4.

Cell: 8.301 8.301 12.241 Å, 90.00 90.00 90.00°
Atoms (fractional coordinates):
Ca: 0.071 0.633 0.098
Ca: 0.071 0.867 0.598
Ca: 0.133 0.571 0.402
Ca: 0.133 0.929 0.902
Ca: 0.250 0.250 0.168
Ca: 0.250 0.250 0.668
Ca: 0.367 0.571 0.902
Ca: 0.367 0.929 0.402
Ca: 0.429 0.633 0.598
Ca: 0.429 0.867 0.098
Ca: 0.571 0.133 0.902
Ca: 0.571 0.367 0.402
Ca: 0.633 0.071 0.598
Ca: 0.633 0.429 0.098
Ca: 0.750 0.750 0.332
Ca: 0.750 0.750 0.832
Ca: 0.867 0.071 0.098
Ca: 0.867 0.429 0.598
Ca: 0.929 0.133 0.402
Ca: 0.929 0.367 0.902
Os: 0.095 0.595 0.750
Os: 0.095 0.905 0.250
Os: 0.405 0.595 0.250
Os: 0.405 0.905 0.750
Os: 0.595 0.095 0.250
Os: 0.595 0.405 0.750
Os: 0.905 0.095 0.750
Os: 0.905 0.405 0.250
N: 0.056 0.641 0.897
N: 0.056 0.859 0.397
N: 0.141 0.556 0.603
N: 0.141 0.944 0.103
N: 0.359 0.556 0.103
N: 0.359 0.944 0.603
N: 0.444 0.641 0.397
N: 0.444 0.859 0.897
N: 0.556 0.141 0.103
N: 0.556 0.359 0.603
N: 0.641 0.056 0.397
N: 0.641 0.444 0.897
N: 0.859 0.056 0.897
N: 0.859 0.444 0.397
N: 0.944 0.141 0.603
N: 0.944 0.359 0.103

Output
Its space group is P4/ncc (130). As for the energy relative to the elements, uncorrected: -12.4 kcal/mol of atoms. Its total energy is -6.515 eV/atom. As for the magnetization: 3.8 μB per cell.

---

Entry 2:
VASP calculation (PBE-GGA) on an optimized crystal structure of Co2PN.

Cell: 5.687 5.687 5.687 Å, 133.11 133.11 68.49°
Atoms (fractional coordinates):
Co: 0.054 0.625 0.929
Co: 0.375 0.304 0.429
Co: 0.696 0.125 0.071
Co: 0.875 0.946 0.571
P: 0.250 0.750 0.500
P: 0.500 0.500 0.000
N: 0.000 0.000 0.000
N: 0.750 0.250 0.500

Output
Its energy above the most stable polymorph in this dataset is 0 meV per atom. Its space group is I-42d (122). As for the energy relative to the elements, uncorrected: -2.0 kcal/mol of atoms. Its total energy is -7.075 eV/atom. As for the magnetization: 0.0 μB per cell.

---

Entry 3:
VASP calculation (PBE-GGA) on an optimized crystal structure of YTlHgF2.

Cell: 4.378 4.378 6.562 Å, 90.00 90.00 90.00°
Atoms (fractional coordinates):
Y: 0.000 0.000 0.000
Tl: 0.500 0.500 0.500
Hg: 0.000 0.000 0.500
F: 0.000 0.500 0.000
F: 0.500 0.000 0.000

Output
Its space group is P4/mmm (123). As for the energy relative to the elements, uncorrected: -48.6 kcal/mol of atoms. Its total energy is -4.682 eV/atom. As for the magnetization: 0.0 μB per cell.

---

Entry 4:
VASP calculation (PBE-GGA) on an optimized crystal structure of TlPbAu.

Cell: 6.819 6.755 3.561 Å, 75.80 73.78 30.42°
Atoms (fractional coordinates):
Tl: 0.000 0.000 0.000
Pb: 0.292 0.292 0.708
Au: 0.651 0.651 0.349

Output
For the calculated formation energy, the calculation gives -0.010 eV/atom. Its space group is Fmm2 (42). Its total energy is -3.127 eV/atom. As for the magnetization: 0.0 μB per cell.

---

Entry 5:
VASP calculation (PBE-GGA) on an optimized crystal structure of SrMnOs2.

Cell: 5.154 5.154 5.154 Å, 133.23 133.23 68.30°
Atoms (fractional coordinates):
Sr: 0.000 0.000 0.000
Mn: 0.500 0.500 0.000
Os: 0.250 0.750 0.500
Os: 0.750 0.250 0.500

Output
Its energy above the most stable polymorph in this dataset is 847 meV per atom. For the calculated formation energy, the calculation gives 1.126 eV/atom. Its space group is I4/mmm (139). Its total energy is -7.202 eV/atom. As for the magnetization: 2.9 μB per cell.

---

Entry 6:
VASP calculation (PBE-GGA) on an optimized crystal structure of Mn2Al2V.

Cell: 7.055 7.055 7.055 Å, 145.13 134.28 58.76°
Atoms (fractional coordinates):
Mn: 0.182 0.175 0.006
Mn: 0.331 0.825 0.506
Mn: 0.669 0.175 0.494
Mn: 0.818 0.825 0.994
Al: 0.101 0.351 0.750
Al: 0.250 0.000 0.250
Al: 0.750 0.000 0.750
Al: 0.899 0.649 0.250
V: 0.414 0.664 0.750
V: 0.586 0.336 0.250

Output
Its energy above the most stable polymorph in this dataset is 0 meV per atom. For the calculated formation energy, the calculation gives -0.156 eV/atom. Its space group is Imma (74). Its total energy is -7.144 eV/atom. As for the magnetization: 3.5 μB per cell.

---

Entry 7:
VASP calculation (PBE-GGA) on an optimized crystal structure of BaZr4S8.

Cell: 8.766 8.766 8.766 Å, 49.29 49.29 49.29°
Atoms (fractional coordinates):
Ba: 0.000 0.000 0.000
Zr: 0.000 0.000 0.500
Zr: 0.000 0.500 0.000
Zr: 0.500 0.000 0.000
Zr: 0.500 0.500 0.500
S: 0.231 0.231 0.231
S: 0.236 0.732 0.732
S: 0.268 0.268 0.764
S: 0.268 0.764 0.268
S: 0.732 0.236 0.732
S: 0.732 0.732 0.236
S: 0.764 0.268 0.268
S: 0.769 0.769 0.769

Output
Its energy above the most stable polymorph in this dataset is 0 meV per atom. Its space group is R-3m (166). As for the energy relative to the elements, uncorrected: -39.0 kcal/mol of atoms. Its total energy is -7.008 eV/atom. As for the magnetization: 0.0 μB per cell.

---

Entry 8:
VASP calculation (PBE-GGA) on an optimized crystal structure of TlAg.

Cell: 7.340 6.990 5.903 Å, 68.81 62.61 48.58°
Atoms (fractional coordinates):
Tl: 0.071 0.679 0.071
Tl: 0.321 0.929 0.321
Tl: 0.679 0.071 0.679
Tl: 0.929 0.321 0.929
Ag: 0.193 0.557 0.557
Ag: 0.443 0.807 0.807
Ag: 0.557 0.193 0.193
Ag: 0.807 0.443 0.443

Output
For the calculated formation energy, the calculation gives 0.168 eV/atom. Its space group is Fddd (70). Its total energy is -2.441 eV/atom. As for the magnetization: 0.0 μB per cell.

---

Entry 9:
VASP calculation (PBE-GGA) on an optimized crystal structure of Sr4RuW.

Cell: 6.464 6.464 6.464 Å, 60.00 60.00 60.00°
Atoms (fractional coordinates):
Sr: 0.125 0.125 0.125
Sr: 0.125 0.125 0.624
Sr: 0.125 0.624 0.125
Sr: 0.624 0.125 0.125
Ru: 0.500 0.500 0.500
W: 0.750 0.750 0.750

Output
For the calculated formation energy, the calculation gives 1.760 eV/atom. Its space group is F-43m (216). Its total energy is -3.066 eV/atom. As for the magnetization: 4.7 μB per cell.

---

Entry 10:
VASP calculation (PBE-GGA) on an optimized crystal structure of Hg4AsSe.

Cell: 5.921 5.921 5.921 Å, 60.00 60.00 60.00°
Atoms (fractional coordinates):
Hg: 0.125 0.125 0.125
Hg: 0.125 0.125 0.625
Hg: 0.125 0.625 0.125
Hg: 0.625 0.125 0.125
As: 0.500 0.500 0.500
Se: 0.750 0.750 0.750

Output
Its space group is F-43m (216). As for the energy relative to the elements, uncorrected: 11.7 kcal/mol of atoms. Its total energy is -1.049 eV/atom. As for the magnetization: 0.0 μB per cell.

---

Entry 11:
VASP calculation (PBE-GGA) on an optimized crystal structure of PaMn6Ge6.

Cell: 6.583 6.583 6.583 Å, 133.68 103.17 94.68°
Atoms (fractional coordinates):
Pa: 0.000 0.000 0.000
Mn: 0.000 0.000 0.500
Mn: 0.000 0.500 0.000
Mn: 0.248 0.500 0.748
Mn: 0.500 0.000 0.000
Mn: 0.500 0.500 0.500
Mn: 0.752 0.500 0.252
Ge: 0.171 0.671 0.500
Ge: 0.339 0.339 0.000
Ge: 0.347 0.000 0.347
Ge: 0.653 0.000 0.653
Ge: 0.661 0.661 0.000
Ge: 0.829 0.329 0.500

Output
For the calculated formation energy, the calculation gives -0.262 eV/atom. Its space group is Immm (71). Its total energy is -7.356 eV/atom. As for the magnetization: 10.8 μB per cell.

---

Entry 12:
VASP calculation (PBE-GGA) on an optimized crystal structure of AgGeO2.

Cell: 6.672 6.672 6.672 Å, 27.87 27.87 27.87°
Atoms (fractional coordinates):
Ag: 0.000 0.000 0.000
Ge: 0.500 0.500 0.500
O: 0.409 0.409 0.409
O: 0.591 0.591 0.591

Output
Its space group is R-3m (166). As for the energy relative to the elements, uncorrected: -5.8 kcal/mol of atoms. Its total energy is -4.599 eV/atom. As for the magnetization: 0.0 μB per cell.

---

Entry 13:
VASP calculation (PBE-GGA) on an optimized crystal structure of Pa2Co3Ir.

Cell: 5.120 5.120 5.120 Å, 59.06 59.06 59.06°
Atoms (fractional coordinates):
Pa: 0.124 0.124 0.124
Pa: 0.876 0.876 0.876
Co: 0.000 0.500 0.500
Co: 0.500 0.000 0.500
Co: 0.500 0.500 0.000
Ir: 0.500 0.500 0.500

Output
For the calculated formation energy, the calculation gives -0.498 eV/atom. Its space group is R-3m (166). Its total energy is -8.693 eV/atom. As for the magnetization: 0.0 μB per cell.

---

Entry 14:
VASP calculation (PBE-GGA) on an optimized crystal structure of Hg2H6PdRh.

Cell: 4.654 4.951 4.992 Å, 89.16 75.47 89.71°
Atoms (fractional coordinates):
Hg: 0.203 0.215 0.464
Hg: 0.797 0.785 0.536
H: 0.267 0.740 0.914
H: 0.282 0.256 0.894
H: 0.319 0.582 0.326
H: 0.681 0.418 0.674
H: 0.718 0.744 0.106
H: 0.733 0.260 0.086
Pd: 0.000 0.000 0.000
Rh: 0.500 0.500 0.000

Output
Its space group is P-1 (2). Its total energy is -3.203 eV/atom. As for the magnetization: 0.0 μB per cell.

---

Entry 15:
VASP calculation (PBE-GGA) on an optimized crystal structure of Pm3YCo.

Cell: 7.573 6.483 6.235 Å, 90.00 90.00 90.00°
Atoms (fractional coordinates):
Pm: 0.000 0.151 0.000
Pm: 0.249 0.326 0.500
Pm: 0.251 0.674 0.000
Pm: 0.500 0.849 0.500
Pm: 0.749 0.674 0.000
Pm: 0.751 0.326 0.500
Y: 0.000 0.840 0.501
Y: 0.500 0.160 0.001
Co: 0.000 0.502 0.248
Co: 0.500 0.498 0.748

Output
Its energy above the most stable polymorph in this dataset is 72 meV per atom. For the calculated formation energy, the calculation gives 0.001 eV/atom. Its space group is Pmn2_1 (31). Its total energy is -5.564 eV/atom. As for the magnetization: 0.0 μB per cell.

---

Entry 16:
VASP calculation (PBE-GGA) on an optimized crystal structure of AgS2IN.

Cell: 5.074 5.074 4.081 Å, 90.00 90.00 90.00°
Atoms (fractional coordinates):
Ag: 0.000 0.000 0.000
S: 0.000 0.500 0.000
S: 0.500 0.000 0.000
I: 0.500 0.500 0.500
N: 0.000 0.000 0.500

Output
Its energy above the most stable polymorph in this dataset is 0 meV per atom. Its space group is P4/mmm (123). As for the energy relative to the elements, uncorrected: 30.9 kcal/mol of atoms. Its total energy is -2.855 eV/atom. As for the magnetization: 2.2 μB per cell.

---

Entry 17:
VASP calculation (PBE-GGA) on an optimized crystal structure of Ho5TmTh4.

Cell: 6.690 11.667 8.542 Å, 90.00 90.00 90.00°
Atoms (fractional coordinates):
Ho: 0.010 0.034 0.185
Ho: 0.010 0.466 0.185
Ho: 0.250 0.750 0.796
Ho: 0.490 0.034 0.185
Ho: 0.490 0.466 0.185
Ho: 0.510 0.534 0.815
Ho: 0.510 0.966 0.815
Ho: 0.750 0.250 0.204
Ho: 0.990 0.534 0.815
Ho: 0.990 0.966 0.815
Tm: 0.250 0.250 0.457
Tm: 0.750 0.750 0.543
Th: 0.001 0.750 0.144
Th: 0.250 0.604 0.469
Th: 0.250 0.896 0.469
Th: 0.499 0.750 0.144
Th: 0.501 0.250 0.856
Th: 0.750 0.104 0.531
Th: 0.750 0.396 0.531
Th: 0.999 0.250 0.856

Output
Its energy above the most stable polymorph in this dataset is 299 meV per atom. For the calculated formation energy, the calculation gives 0.406 eV/atom. Its space group is Pmmn (59). Its total energy is -5.298 eV/atom. As for the magnetization: 0.0 μB per cell.

---

Entry 18:
VASP calculation (PBE-GGA) on an optimized crystal structure of CsZn2Bi2.

Cell: 9.150 9.150 3.556 Å, 90.00 90.00 90.00°
Atoms (fractional coordinates):
Cs: 0.000 0.000 0.000
Cs: 0.500 0.500 0.000
Zn: 0.125 0.375 0.000
Zn: 0.375 0.875 0.000
Zn: 0.625 0.125 0.000
Zn: 0.875 0.625 0.000
Bi: 0.151 0.651 0.500
Bi: 0.349 0.151 0.500
Bi: 0.651 0.849 0.500
Bi: 0.849 0.349 0.500

Output
Its energy above the most stable polymorph in this dataset is 206 meV per atom. For the calculated formation energy, the calculation gives 0.040 eV/atom. Its space group is P4/mbm (127). Its total energy is -2.193 eV/atom. As for the magnetization: 0.0 μB per cell.

---

Entry 19:
VASP calculation (PBE-GGA) on an optimized crystal structure of TmScAs2.

Cell: 7.118 7.118 7.118 Å, 32.19 32.19 32.19°
Atoms (fractional coordinates):
Tm: 0.000 0.000 0.000
Sc: 0.829 0.829 0.829
As: 0.416 0.416 0.416
As: 0.579 0.579 0.579

Output
Its energy above the most stable polymorph in this dataset is 144 meV per atom. For the calculated formation energy, the calculation gives -1.289 eV/atom. Its space group is R3m (160). Its total energy is -6.315 eV/atom. As for the magnetization: 0.0 μB per cell.

---

Entry 20:
VASP calculation (PBE-GGA) on an optimized crystal structure of SmTm2Th3Se6.

Cell: 6.930 6.930 7.564 Å, 98.78 98.78 119.77°
Atoms (fractional coordinates):
Sm: 0.000 0.000 0.000
Tm: 0.332 0.668 0.000
Tm: 0.668 0.332 0.000
Th: 0.162 0.838 0.500
Th: 0.500 0.500 0.500
Th: 0.838 0.162 0.500
Se: 0.078 0.421 0.234
Se: 0.267 0.267 0.771
Se: 0.421 0.078 0.234
Se: 0.579 0.922 0.766
Se: 0.733 0.733 0.229
Se: 0.922 0.579 0.766

Output
Its space group is C2/m (12). As for the energy relative to the elements, uncorrected: -37.4 kcal/mol of atoms. Its total energy is -6.356 eV/atom. As for the magnetization: 0.0 μB per cell.